Record 1
TbAlGe: optimized geometry, PBE.

Values from the calculation:
Magnetic moment   0.01 μB/cell
Energy   -41.527 eV per cell

```
data_TbAlGe
_space_group_name_H-M_alt 'P -6 2 m'
_space_group_IT_number 189
_space_group_name_Hall 'P -6 -2'
_cell_length_a 7.5612
_cell_length_b 7.5612
_cell_length_c 4.0718
_cell_angle_alpha 90.00
_cell_angle_beta 90.00
_cell_angle_gamma 120.00
loop_
_atom_site_label
_atom_site_fract_x
_atom_site_fract_y
_atom_site_fract_z
Tb1 0.0000 0.2767 0.0000
Al1 0.0000 0.5963 0.5000
Ge1 0.0000 0.0000 0.5000
Ge2 0.3333 0.6667 0.0000
```

=====

Record 2
Cs2NaHgF6: optimized geometry, PBE.

Values from the calculation:
Energy   -71.600 eV per cell

```
data_Cs2NaHgF6
_space_group_name_H-M_alt 'P 1 21/c 1'
_space_group_IT_number 14
_cell_length_a 6.225
_cell_length_b 6.222
_cell_length_c 10.789
_cell_angle_alpha 90.00
_cell_angle_beta 125.21
_cell_angle_gamma 90.00
loop_
_space_group_symop_operation_xyz
'x,y,z'
'-x,-y,-z'
'-x,y+1/2,-z+1/2'
'x,-y+1/2,z+1/2'
loop_
_atom_site_label
_atom_site_fract_x
_atom_site_fract_y
_atom_site_fract_z
Cs1 0.250 0.002 0.250
Na1 0.000 0.000 0.500
Hg1 0.500 0.000 0.000
F1 0.245 0.245 0.997
F2 0.254 0.747 0.998
F3 0.256 0.502 0.251
```

=====

Record 3
DyYNi2B4: optimized geometry, PBE.

Values from the calculation:
Magnetic moment   0.24 μB/cell
Energy   -50.859 eV per cell

```
data_DyYNi2B4
_space_group_name_H-M_alt 'P 4 m m'
_space_group_IT_number 99
_cell_length_a 3.670
_cell_length_b 3.670
_cell_length_c 7.755
_cell_angle_alpha 90.00
_cell_angle_beta 90.00
_cell_angle_gamma 90.00
loop_
_space_group_symop_operation_xyz
'x,y,z'
'-y,x,z'
'-x,-y,z'
'y,-x,z'
'-x,y,z'
'y,x,z'
'x,-y,z'
'-y,-x,z'
loop_
_atom_site_label
_atom_site_fract_x
_atom_site_fract_y
_atom_site_fract_z
Dy1 0.000 0.000 0.000
Y1 0.500 0.500 0.356
Ni1 0.000 0.500 0.678
B1 0.000 0.000 0.337
B2 0.000 0.000 0.546
B3 0.500 0.500 0.019
B4 0.500 0.500 0.810
```